(i)
11
Lattice="3.5214 0.0000 0.0000 0.0000 10.0290 -5.7902 0.0000 0.0000 11.5805" Properties=species:S:1:pos:R:3 comment="La3Pr5Nd3 (PBE, relaxed)" dos_ef_per_ev_atom=1.773 space_group=P-62m rho_g_cm3=6.309 pbc="T T T"
Pr 1.7607 6.6294 3.8275
Pr 1.7607 3.3996 -1.9627
Pr 1.7607 0.0000 3.9255
Pr 1.7607 6.6860 0.0000
Pr 1.7607 3.3430 5.7902
La 0.0000 6.0373 -3.4857
La 0.0000 0.0000 6.9713
La 0.0000 3.9916 2.3046
Nd 1.7607 0.0000 9.7224
Nd 1.7607 1.6092 0.9291
Nd 1.7607 8.4198 -4.8612



(ii)
11
Lattice="5.8166 0.0000 0.0000 0.0000 9.8332 0.0000 0.0000 -4.9166 8.5158" Properties=species:S:1:pos:R:3 comment="La3Pr5Nd3 (PBE, relaxed)" dos_ef_per_ev_atom=1.288 space_group=P-62m rho_g_cm3=5.298 pbc="T T T"
Pr 2.9083 7.1138 0.0000
Pr 2.9083 4.9166 2.8386
Pr 2.9083 0.0000 5.6772
Pr 2.9083 1.3597 2.3551
Pr 2.9083 -3.5569 6.1607
La 0.0000 -2.2556 3.9068
La 0.0000 2.6610 4.6090
La 0.0000 4.5112 0.0000
Nd 2.9083 3.1111 5.3886
Nd 2.9083 3.6110 0.0000
Nd 2.9083 -1.8055 3.1272



Energies relative to the minimum, eV/atom: (i) 0.000; (ii) 0.366



(i)
11
Lattice="-0.0137 -2.3191 -4.3351 -2.3879 -3.7863 2.0330 -13.7822 10.4131 -2.7391" Properties=species:S:1:pos:R:3 comment="La3Pr2Nd6 (PBE, relaxed)" dos_ef_per_ev_atom=1.338 space_group=I4/mmm rho_g_cm3=6.268 pbc="T T T"
Nd -12.6018 3.7110 -1.9454
Nd -3.5820 0.5967 -3.0958
Nd -11.4147 4.4446 -5.1294
Nd -6.9888 -0.2093 -2.6538
Nd -9.1949 4.5171 -2.3873
Nd -4.7691 -0.1369 0.0883
La -6.1620 3.0271 -1.5999
La -10.0217 1.2806 -3.4412
La 0.0000 0.0000 0.0000
Pr -2.5581 -2.3859 -1.5034
Pr -13.6257 6.6937 -3.5377



(ii)
11
Lattice="7.6438 -1.0337 2.9943 -0.9201 5.9740 2.2157 6.0748 4.0960 13.4108" Properties=species:S:1:pos:R:3 comment="La3Pr2Nd6 (PBE, relaxed)" dos_ef_per_ev_atom=1.805 space_group=P-1 rho_g_cm3=6.551 pbc="T T T"
La 7.9532 3.9020 8.5335
La 4.8454 5.1344 10.0873
La 0.0000 0.0000 0.0000
Nd 3.6101 6.1725 6.7696
Nd 4.6623 2.6691 7.3114
Nd 9.1885 2.8639 11.8512
Nd 4.9949 7.6007 12.8581
Nd 8.1363 6.3673 11.3093
Nd 7.8037 1.4357 5.7626
Pr 9.3682 5.3344 14.6305
Pr 3.4304 3.7020 3.9902



Energies relative to the minimum, eV/atom: (i) 0.223; (ii) 0.000



(i)
10
Lattice="-1.0972 0.6945 6.7430 -3.8277 -7.2308 4.5419 6.3694 -0.3997 1.8983" Properties=species:S:1:pos:R:3 comment="LaPr2Nd7 (PBE, relaxed)" dos_ef_per_ev_atom=1.536 space_group=P-1 rho_g_cm3=6.615 pbc="T T T"
Nd -0.0119 -1.4518 3.8651
Nd -2.0338 -4.2289 9.3895
Nd -1.2398 -6.7530 7.0853
Nd 2.6843 -0.1830 6.0979
Nd -2.4624 -3.2681 5.6424
Nd 3.4784 -2.7071 3.7936
Nd 1.4565 -5.4843 9.3180
Pr 0.5099 -2.2351 7.6943
Pr 0.9347 -4.7010 5.4888
La 0.0000 0.0000 0.0000



(ii)
10
Lattice="-2.8295 -1.4198 4.6807 -2.9457 -7.9615 -4.1957 7.9959 0.6507 5.0309" Properties=species:S:1:pos:R:3 comment="LaPr2Nd7 (PBE, relaxed)" dos_ef_per_ev_atom=1.500 space_group=Cmmm rho_g_cm3=5.639 pbc="T T T"
Nd 0.7466 -1.0461 3.5450
Nd 1.1103 -4.3653 2.7580
Nd 5.5239 -1.2951 2.9464
Nd -0.4738 -6.0158 -2.1112
Nd 3.9734 -5.7173 4.0786
Nd -1.7528 -3.0134 1.4373
Nd 1.4740 -7.6846 1.9710
Pr 3.3261 -2.6213 4.6265
Pr -1.1055 -6.1094 0.8894
La 0.0000 0.0000 0.0000



Energies relative to the minimum, eV/atom: (i) 0.000; (ii) 0.528



(i)
11
Lattice="4.9126 0.0000 0.0000 0.0000 4.9126 0.0000 -2.4563 -2.4563 17.1873" Properties=species:S:1:pos:R:3 comment="La2Pr3Nd6 (PBE, relaxed)" dos_ef_per_ev_atom=1.497 space_group=I4/mmm rho_g_cm3=6.269 pbc="T T T"
Pr 0.0000 0.0000 6.9448
Pr 2.4563 2.4563 10.2425
Pr 0.0000 0.0000 0.0000
La 0.0000 0.0000 15.6426
La 2.4563 2.4563 1.5447
Nd 0.0000 2.4563 4.1574
Nd 2.4563 0.0000 13.0299
Nd 2.4563 0.0000 4.1574
Nd 2.4563 2.4563 6.7689
Nd 0.0000 2.4563 13.0299
Nd 0.0000 0.0000 10.4184



(ii)
11
Lattice="-2.9154 5.4478 -1.8084 -1.7353 -4.3952 -6.7874 -12.7256 -0.6941 -8.4150" Properties=species:S:1:pos:R:3 comment="La2Pr3Nd6 (PBE, relaxed)" dos_ef_per_ev_atom=1.751 space_group=P-1 rho_g_cm3=6.569 pbc="T T T"
Pr -7.6497 -0.8725 -9.6000
Pr -9.7265 1.2311 -7.4108
Pr 0.0000 0.0000 0.0000
Nd -12.6833 2.9826 -8.8175
Nd -10.5897 0.8848 -11.0070
Nd -6.7866 -0.5263 -6.0039
Nd -10.6130 -2.8048 -10.5979
Nd -6.7633 3.1634 -6.4130
Nd -4.6930 -2.6241 -8.1934
La -13.5720 -1.0450 -12.0081
La -3.8043 1.4036 -5.0027



Energies relative to the minimum, eV/atom: (i) 0.229; (ii) 0.000



(i)
12
Lattice="9.0741 0.0000 0.0000 0.0000 6.4162 -3.7044 0.0000 0.0000 7.4087" Properties=species:S:1:pos:R:3 comment="LaPr2Nd3 (PBE, relaxed)" dos_ef_per_ev_atom=1.484 space_group=P-3m1 rho_g_cm3=6.571 pbc="T T T"
Pr 0.0000 0.0000 0.0000
Pr 0.0000 0.0000 3.7044
Pr 0.0000 3.2081 -1.8522
Pr 0.0000 3.2081 1.8522
Nd 6.0464 2.1388 0.0000
Nd 3.0277 1.0694 5.5565
Nd 3.0277 4.2773 3.7044
Nd 6.0464 5.3467 1.8521
Nd 3.0277 1.0694 1.8523
Nd 6.0464 5.3467 -1.8521
La 3.0306 4.2774 0.0000
La 6.0435 2.1387 3.7044



(ii)
12
Lattice="6.9172 0.0000 0.0000 0.0000 7.7398 1.2907 0.0000 -1.3222 7.7345" Properties=species:S:1:pos:R:3 comment="LaPr2Nd3 (PBE, relaxed)" dos_ef_per_ev_atom=1.060 space_group=Cmcm rho_g_cm3=6.655 pbc="T T T"
Pr 1.7293 6.1826 5.7874
Pr 5.1879 0.2351 3.2378
Pr 5.1879 2.9811 1.2851
Pr 1.7293 3.4366 7.7401
Nd 0.0000 5.4617 2.9106
Nd 3.4586 5.4617 2.9106
Nd 5.1879 3.8268 5.3817
Nd 1.7293 2.5908 3.6435
Nd 3.4586 0.9559 6.1146
Nd 0.0000 0.9559 6.1146
La 1.7293 0.6472 0.9101
La 5.1879 5.7705 8.1150



Energies relative to the minimum, eV/atom: (i) 0.000; (ii) 0.145